The following is a PBE calculation of a geometry-optimized La3HgO structure, from Alexandria.

Properties
Energy above the lowest structure with this stoichiometry (eV/atom): 0.080
SG: P-1 (2)
Electronic total energy (eV/cell): -52.9
Energy relative to the elements, uncorrected (eV/f.u.): -6.42

Cell: 5.596 7.875 6.993 Å, 76.01 90.69 89.53°
Positions (direct):
1 La 0.959 0.729 0.651
2 La 0.419 0.094 0.458
3 La 0.988 0.969 0.087
4 La 0.448 0.334 0.893
5 La 0.937 0.420 0.190
6 La 0.471 0.643 0.354
7 O 0.201 0.860 0.387
8 O 0.206 0.203 0.158
9 Hg 0.941 0.306 0.654
10 Hg 0.466 0.757 0.890